[1]
Density functional theory data (PBE) for a relaxed structure of LiTe2Au.

The structure belongs to space group I-4m2 (No. 119); the cell edges are 4.099, 4.099 and 11.286 Å and the angles 90.00°, 90.00° and 90.00°. The inequivalent atoms are Li at (0.000, 0.000, 0.000), Te at (0.000, 0.000, 0.500), Te at (0.000, 0.500, 0.750) and Au at (0.000, 0.500, 0.250).

Its formation energy without anion corrections is -0.157 eV per atom.

---

[2]
Density functional theory data (PBE) for a relaxed structure of Ba2ZnGa5.

The structure belongs to space group Cmcm (No. 63); the cell edges are 4.482, 19.841 and 9.299 Å and the angles 90.00°, 90.00° and 90.00°. The inequivalent atoms are Ba at (0.000, 0.000, 0.000), Ba at (0.000, 0.216, 0.250), Zn at (0.000, 0.430, 0.750), Ga at (0.000, 0.169, 0.613), Ga at (0.000, 0.363, 0.511) and Ga at (0.000, 0.423, 0.250).

The value obtained for the formation energy is -0.379 eV/atom.

---

[3]
Density functional theory data (PBE) for a relaxed structure of CeSmGa6.

The structure belongs to space group P-6m2 (No. 187); the cell edges are 6.3792, 6.3792 and 4.5985 Å and the angles 90.00°, 90.00° and 120.00°. The inequivalent atoms are Ce at (0.0000, 0.0000, 0.0000), Sm at (0.3333, 0.6667, 0.5000), Ga at (0.3761, 0.1880, 0.5000) and Ga at (0.5218, 0.0436, 0.0000).

The value obtained for the formation energy is -0.561 eV/atom.

---

[4]
Density functional theory data (PBE) for a relaxed structure of Si2SbNF.

The structure belongs to space group P4/mmm (No. 123); the cell edges are 3.773, 3.773 and 5.336 Å and the angles 90.00°, 90.00° and 90.00°. The inequivalent atoms are Si at (0.000, 0.500, 0.000), Sb at (0.000, 0.000, 0.500), N at (0.500, 0.500, 0.000) and F at (0.500, 0.500, 0.500).

Its formation energy without anion corrections is 0.238 eV per atom.

---

[5]
Density functional theory data (PBE) for a relaxed structure of LiSn2Br8.

The structure belongs to space group P-3m1 (No. 164); the cell edges are 7.8607, 7.8607 and 9.0823 Å and the angles 90.00°, 90.00° and 120.00°. The inequivalent atoms are Li at (0.0000, 0.0000, 0.0000), Sn at (0.3333, 0.6667, 0.7166), Br at (0.1498, 0.2997, 0.7888) and Br at (0.3333, 0.6667, 0.4396).

Its formation energy without anion corrections is -0.713 eV per atom.

---

[6]
Density functional theory data (PBE) for a relaxed structure of Ac2CoBr2.

The structure belongs to space group R-3m (No. 166, hexagonal axes); the cell edges are 4.2667, 4.2667 and 34.1246 Å and the angles 90.00°, 90.00° and 120.00°. The inequivalent atoms are Ac at (0.0000, 0.0000, 0.1172), Co at (0.0000, 0.0000, 0.5000) and Br at (0.0000, 0.0000, 0.3894).

Its formation energy without anion corrections is -0.943 eV per atom.

---

[7]
Density functional theory data (PBE) for a relaxed structure of Ho5GaSe5.

The structure belongs to space group C2/m (No. 12); the cell edges are 12.969, 5.754 and 8.150 Å and the angles 90.00°, 108.43° and 90.00°. The inequivalent atoms are Ho at (0.000, 0.000, 0.000), Ho at (0.160, 0.500, 0.829), Ho at (0.163, 0.500, 0.332), Ga at (0.000, 0.500, 0.000), Se at (0.000, 0.500, 0.500), Se at (0.170, 0.000, 0.837) and Se at (0.172, 0.000, 0.334).

Its formation energy without anion corrections is -1.622 eV per atom.

---

[8]
Density functional theory data (PBE) for a relaxed structure of CuGeTe.

The structure belongs to space group P2_1/m (No. 11); the cell edges are 5.737, 4.016 and 6.220 Å and the angles 90.00°, 106.18° and 90.00°. The inequivalent atoms are Cu at (0.190, 0.250, 0.255), Ge at (0.469, 0.750, 0.351) and Te at (0.141, 0.250, 0.815).

Its formation energy without anion corrections is 0.050 eV per atom.

---

no.,E_tot (eV/atom),total magnetization (Bohr magnetons per cell)
1,-3.03,0.00
2,-2.91,0.00
3,-4.16,0.43
4,-4.80,0.00
5,-2.83,0.00
6,-4.68,0.00
7,-5.56,0.00
8,-3.90,0.00